No. 1
VASP calculation (GGA-PBE) on ZnGa4Ni after structural relaxation.

extended XYZ file:
```
12
Lattice="4.424 -4.304 0.000 4.424 4.304 0.000 -0.322 0.000 5.067" Properties=species:S:1:pos:R:3 pbc="T T T"
Zn 4.182 4.265 3.801
Zn 4.343 -4.265 1.267
Ga 3.381 1.997 2.482
Ga 2.094 0.834 4.948
Ga 5.305 1.997 0.052
Ga 2.255 -0.834 2.414
Ga 6.270 0.834 2.653
Ga 3.220 -1.997 5.015
Ga 6.431 -0.834 0.120
Ga 5.144 -1.997 2.586
Ni 4.343 0.015 1.267
Ni 4.182 -0.015 3.801
```

Calculated values
DFT formation energy, eV/atom: -0.145
Energy above the lowest structure with this stoichiometry, kJ/mol of formula units: 17.8
Final energy, eV/atom: -3.338


No. 2
VASP calculation (GGA-PBE) on ZnGaNi2 after structural relaxation.

extended XYZ file:
```
16
Lattice="5.805 0.000 0.000 0.000 5.805 0.000 0.000 0.000 5.805" Properties=species:S:1:pos:R:3 pbc="T T T"
Zn 0.000 0.000 0.000
Zn 0.000 2.902 2.902
Zn 2.902 0.000 2.902
Zn 2.902 2.902 0.000
Ga 0.000 0.000 2.902
Ga 0.000 2.902 0.000
Ga 2.902 0.000 0.000
Ga 2.902 2.902 2.902
Ni 1.451 1.451 1.451
Ni 1.451 1.451 4.353
Ni 1.451 4.353 1.451
Ni 1.451 4.353 4.353
Ni 4.353 1.451 1.451
Ni 4.353 1.451 4.353
Ni 4.353 4.353 1.451
Ni 4.353 4.353 4.353
```

Calculated values
DFT formation energy, eV/atom: -0.334
Final energy, eV/atom: -4.300


No. 3
VASP calculation (GGA-PBE) on ZnGa2Ni7 after structural relaxation.

extended XYZ file:
```
10
Lattice="3.951 0.000 0.000 -1.975 3.422 0.000 0.000 0.000 9.537" Properties=species:S:1:pos:R:3 pbc="T T T"
Zn 0.000 0.000 0.000
Ga 0.000 2.281 6.349
Ga 1.975 1.141 3.183
Ni 0.000 0.000 2.420
Ni 0.000 0.000 7.049
Ni 0.000 2.281 3.949
Ni 0.000 2.281 8.803
Ni 1.975 1.141 0.859
Ni 1.975 1.141 5.517
Ni 1.975 1.141 7.971
```

Calculated values
DFT formation energy, eV/atom: -0.055
Final energy, eV/atom: -4.834


No. 4
VASP calculation (GGA-PBE) on ZnGa2Ni2 after structural relaxation.

extended XYZ file:
```
10
Lattice="6.695 0.000 0.000 0.000 6.695 0.000 0.000 0.000 2.999" Properties=species:S:1:pos:R:3 pbc="T T T"
Zn 0.000 0.000 0.000
Zn 3.348 3.348 0.000
Ga 1.023 2.324 1.499
Ga 2.324 5.672 1.499
Ga 4.371 1.023 1.499
Ga 5.672 4.371 1.499
Ni 0.971 4.318 0.000
Ni 2.377 0.971 0.000
Ni 4.318 5.725 0.000
Ni 5.725 2.377 0.000
```

Calculated values
DFT formation energy, eV/atom: -0.288
Energy above the lowest structure with this stoichiometry, kJ/mol of formula units: 23.5
Final energy, eV/atom: -4.066


No. 5
VASP calculation (GGA-PBE) on ZnGa2Ni after structural relaxation.

extended XYZ file:
```
12
Lattice="2.897 0.000 0.000 -1.448 2.509 0.000 0.000 0.000 24.429" Properties=species:S:1:pos:R:3 pbc="T T T"
Zn 0.000 0.000 0.000
Zn 0.000 1.672 16.286
Zn 1.448 0.836 8.143
Ga 0.000 0.000 5.927
Ga 0.000 0.000 10.370
Ga 0.000 1.672 2.227
Ga 0.000 1.672 22.214
Ga 1.448 0.836 14.070
Ga 1.448 0.836 18.514
Ni 0.000 0.000 20.383
Ni 0.000 1.672 12.240
Ni 1.448 0.836 4.097
```

Calculated values
DFT formation energy, eV/atom: -0.092
Final energy, eV/atom: -3.369


No. 6
VASP calculation (GGA-PBE) on Zn6GaNi12 after structural relaxation.

extended XYZ file:
```
19
Lattice="4.422 2.553 3.440 -4.422 2.553 3.440 0.000 -5.106 3.440" Properties=species:S:1:pos:R:3 pbc="T T T"
Zn -0.740 -2.430 4.680
Zn -2.475 -0.574 5.638
Zn -1.735 1.856 4.680
Zn 1.735 -1.856 5.638
Zn 2.475 0.574 4.680
Zn 0.740 2.430 5.638
Ga 0.000 0.000 5.159
Ni -4.045 1.042 4.408
Ni -2.925 -2.982 5.911
Ni -1.438 -0.322 3.260
Ni 1.120 -4.024 4.408
Ni 0.998 -1.084 3.260
Ni 0.440 1.406 3.260
Ni -0.440 -1.406 7.059
Ni -0.998 1.084 7.059
Ni -1.120 4.024 5.911
Ni 1.438 0.322 7.059
Ni 2.925 2.982 4.408
Ni 4.045 -1.042 5.911
```

Calculated values
DFT formation energy, eV/atom: -0.028
Final energy, eV/atom: -4.241


No. 7
VASP calculation (GGA-PBE) on ZnGaNi6 after structural relaxation.

extended XYZ file:
```
8
Lattice="3.585 0.000 0.000 0.000 3.585 0.000 0.000 0.000 7.141" Properties=species:S:1:pos:R:3 pbc="T T T"
Zn 0.000 0.000 0.000
Ga 0.000 0.000 3.571
Ni 0.000 1.792 1.789
Ni 0.000 1.792 5.352
Ni 1.792 0.000 1.789
Ni 1.792 0.000 5.352
Ni 1.792 1.792 0.000
Ni 1.792 1.792 3.571
```

Calculated values
DFT formation energy, eV/atom: -0.196
Final energy, eV/atom: -5.070


No. 8
VASP calculation (GGA-PBE) on ZnGaNi4 after structural relaxation.

extended XYZ file:
```
12
Lattice="8.486 0.000 0.000 0.000 2.632 0.000 -2.809 0.000 6.308" Properties=species:S:1:pos:R:3 pbc="T T T"
Zn 0.000 0.000 0.000
Zn 4.243 1.316 0.000
Ga -1.404 0.000 3.154
Ga 2.838 1.316 3.154
Ni 0.461 1.316 2.110
Ni -0.912 1.316 5.248
Ni 2.346 0.000 1.060
Ni 0.973 0.000 4.197
Ni 4.704 0.000 2.110
Ni 3.331 0.000 5.248
Ni 6.589 1.316 1.060
Ni 5.216 1.316 4.197
```

Calculated values
DFT formation energy, eV/atom: -0.208
Energy above the lowest structure with this stoichiometry, kJ/mol of formula units: 0.0
Final energy, eV/atom: -4.779


No. 9
VASP calculation (GGA-PBE) on Zn8GaNi2 after structural relaxation.

extended XYZ file:
```
11
Lattice="3.411 -5.486 0.000 3.411 5.486 0.000 -0.975 0.000 4.604" Properties=species:S:1:pos:R:3 pbc="T T T"
Zn -0.050 0.000 3.565
Zn 1.728 1.344 1.697
Zn 3.411 2.862 0.000
Zn 1.728 -1.344 1.697
Zn 4.119 1.344 2.907
Zn 3.411 -2.862 0.000
Zn 4.119 -1.344 2.907
Zn 5.897 0.000 1.039
Ga 3.411 0.000 0.000
Ni 2.924 3.385 2.302
Ni 2.924 -3.385 2.302
```

Calculated values
DFT formation energy, eV/atom: 0.003
Final energy, eV/atom: -2.249


No. 10
VASP calculation (GGA-PBE) on ZnGa2Ni3 after structural relaxation.

extended XYZ file:
```
6
Lattice="2.930 0.000 0.000 0.000 2.930 0.000 0.000 0.000 8.610" Properties=species:S:1:pos:R:3 pbc="T T T"
Zn 0.000 0.000 0.000
Ga 0.000 0.000 2.855
Ga 0.000 0.000 5.755
Ni 1.465 1.465 1.480
Ni 1.465 1.465 4.305
Ni 1.465 1.465 7.130
```

Calculated values
DFT formation energy, eV/atom: -0.336
Final energy, eV/atom: -4.448


No. 11
VASP calculation (GGA-PBE) on Zn2GaNi9 after structural relaxation.

extended XYZ file:
```
12
Lattice="3.583 0.000 0.000 0.000 3.583 0.000 0.000 0.000 10.718" Properties=species:S:1:pos:R:3 pbc="T T T"
Zn 0.000 0.000 1.783
Zn 0.000 0.000 8.934
Ga 0.000 0.000 5.359
Ni 0.000 1.791 0.000
Ni 0.000 1.791 3.575
Ni 0.000 1.791 7.143
Ni 1.791 0.000 0.000
Ni 1.791 0.000 3.575
Ni 1.791 0.000 7.143
Ni 1.791 1.791 1.787
Ni 1.791 1.791 5.359
Ni 1.791 1.791 8.931
```

Calculated values
DFT formation energy, eV/atom: -0.167
Final energy, eV/atom: -4.967